Record 1
An optimized crystal structure of CaGaTeCl2, computed with PBE.

Summary:
Formation energy without anion corrections = -0.78 eV per atom
Mass density = 1938 kg/m3
Space group = P4/mmm
Energy = -15.8 eV/cell

Cell lengths 4.6994, 11.9625, 4.6994 Å; angles 90.00, 90.00, 90.00 degrees
With the nearest neighbours (Å) after each atom.
Positions (direct):
1 Ca 0.0000 0.5000 0.0000  4 Te 3.32
2 Ga 0.0000 0.0000 0.0000  4 Cl 2.35
3 Cl 0.0000 0.0000 0.5000  2 Ga 2.35
4 Cl 0.5000 0.0000 0.0000  2 Ga 2.35
5 Te 0.5000 0.5000 0.5000  4 Ca 3.32

***

Record 2
An optimized crystal structure of Tm2ZrIn, computed with PBE.

Summary:
DFT formation energy = -0.176 eV/f.u.
Distance to the lowest polymorph of the same formula = 3.855 kcal/mol of atoms
Mass density = 8957 kg/m3
Space group = F-43m
Energy = -20.4 eV/cell

Cell lengths 5.2241, 5.2241, 5.2247 Å; angles 60.00, 60.00, 60.00 degrees
With the nearest neighbours (Å) after each atom.
Positions (direct):
1 Tm 0.0000 0.0000 0.0000  4 Tm 3.20, 4 In 3.20
2 Tm 0.2500 0.2500 0.2500  4 Zr 3.20, 4 Tm 3.20
3 In 0.7500 0.7500 0.7500  4 Zr 3.20, 4 Tm 3.20
4 Zr 0.5000 0.5000 0.5000  4 In 3.20, 4 Tm 3.20

***

Record 3
An optimized crystal structure of Sr2MgSiSn, computed with PBE.

Summary:
Formation energy without anion corrections = -0.13 eV per atom
Mass density = 3235 kg/m3
Space group = P4/mmm
Energy = -15.0 eV/cell

Cell lengths 6.0071, 4.9262, 6.0071 Å; angles 90.00, 90.00, 90.00 degrees
With the nearest neighbours (Å) after each atom.
Positions (direct):
1 Mg 0.0000 0.5000 0.0000  2 Si 2.46
2 Sr 0.0000 0.0000 0.5000  2 Si 3.00
3 Sr 0.5000 0.0000 0.0000  2 Si 3.00
4 Sn 0.5000 0.5000 0.5000  8 Sr 3.88, 4 Mg 4.25
5 Si 0.0000 0.0000 0.0000  2 Mg 2.46